A plane-wave DFT calculation with PBE was carried out for an optimized crystal structure of La3BrF.

Summary:
raw formation energy = -1.061 eV per atom
crystal system = cubic

Cell: 5.1338 5.1338 5.1338 Å, 90.00 90.00 90.00°
Element x y z (fractional)
1 La 0.0000 0.5000 0.0000
2 La 0.0000 0.0000 0.5000
3 F 0.0000 0.0000 0.0000
4 Br 0.5000 0.5000 0.5000
5 La 0.5000 0.0000 0.0000

---

A plane-wave DFT calculation with PBE was carried out for an optimized crystal structure of Zn2AgAu.

Summary:
formation energy = -83 meV/atom
crystal system = trigonal

Cell: 9.2398 9.2398 9.2398 Å, 18.02 18.02 18.02°
Element x y z (fractional)
1 Ag 0.2500 0.2500 0.2500
2 Au 0.7500 0.7500 0.7500
3 Zn 0.5000 0.5000 0.5000
4 Zn 0.0000 0.0000 0.0000

---

A plane-wave DFT calculation with PBE was carried out for an optimized crystal structure of PaNiB.

Summary:
formation energy = -151 meV/atom
crystal system = trigonal

Cell: 3.5977 3.5977 7.7743 Å, 76.62 76.62 60.00°
Element x y z (fractional)
1 Ni 0.3634 0.3634 0.9098
2 Pa 0.2172 0.2172 0.3483
3 Ni 0.6366 0.6366 0.0902
4 Pa 0.7828 0.7828 0.6517
5 B 0.0393 0.0393 0.8820
6 B 0.9607 0.9607 0.1180

---

no.,energy above the most stable polymorph in this dataset (kJ/mol of atoms),D(E_F) (states/eV per cell)
1,0.0,7.7
2,5.9,0.5
3,23.5,7.4